# 1
DFT (PBE) results for a relaxed structure of AlMo2Ru.

Cell and atoms, written as POSCAR:
```
AlMo2Ru
1.0
2.8046 0.0000 0.0000
-1.4023 2.4289 0.0000
0.0000 0.0000 26.9283
Al Mo Ru
3 6 3
direct
0.0000 0.0000 0.0000
0.3333 0.6667 0.6667
0.6667 0.3333 0.3333
0.0000 0.0000 0.2481
0.0000 0.0000 0.7519
0.3333 0.6667 0.4185
0.3333 0.6667 0.9148
0.6667 0.3333 0.0852
0.6667 0.3333 0.5815
0.0000 0.0000 0.5000
0.3333 0.6667 0.1667
0.6667 0.3333 0.8333
```

Summary:
* energy relative to the elements: 0.04 eV per atom
* DOS at the Fermi energy: 11.57 states/eV per cell
* space group: R-3m (166)

# 2
DFT (PBE) results for a relaxed structure of AlMo2Ru.

Cell and atoms, written as POSCAR:
```
AlMo2Ru
1.0
4.6161 0.0000 0.0000
0.0000 4.6161 0.0000
0.0000 0.0000 2.8398
Al Mo Ru
1 2 1
direct
0.0000 0.0000 0.0000
0.0000 0.5000 0.5000
0.5000 0.0000 0.5000
0.5000 0.5000 0.0000
```

Summary:
* energy relative to the elements: 0.12 eV per atom
* DOS at the Fermi energy: 5.41 states/eV per cell
* space group: P4/mmm (123)

# 3
DFT (PBE) results for a relaxed structure of AlMo2Ru.

Cell and atoms, written as POSCAR:
```
AlMo2Ru
1.0
3.1390 0.0000 0.0000
0.0000 3.1390 0.0000
0.0000 0.0000 6.0948
Al Mo Ru
1 2 1
direct
0.0000 0.0000 0.0000
0.0000 0.0000 0.4995
0.5000 0.5000 0.2642
0.5000 0.5000 0.7711
```

Summary:
* energy relative to the elements: -0.15 eV per atom
* DOS at the Fermi energy: 3.68 states/eV per cell
* space group: P4mm (99)

# 4
DFT (PBE) results for a relaxed structure of AlMo2Ru.

Cell and atoms, written as POSCAR:
```
AlMo2Ru
1.0
3.1396 0.0000 0.0000
0.0000 4.4300 0.0000
0.0000 0.0000 8.7343
Al Mo Ru
2 4 2
direct
0.0000 0.0000 0.0000
0.5000 0.5000 0.0000
0.0000 0.5000 0.2510
0.0000 0.5000 0.7490
0.5000 0.0000 0.2510
0.5000 0.0000 0.7490
0.0000 0.0000 0.5000
0.5000 0.5000 0.5000
```

Summary:
* energy relative to the elements: 0.07 eV per atom
* DOS at the Fermi energy: 9.72 states/eV per cell
* space group: Cmmm (65)

Look up the energy relative to the elements of the fourth one.
0.07 eV per atom

The lowest DOS at the Fermi energy belongs to which entry?
number 3

Which of these has the highest energy relative to the elements?
number 2

What did the fourth record say?
DFT (PBE) results for a relaxed structure of AlMo2Ru.

Cell and atoms, written as POSCAR:
```
AlMo2Ru
1.0
3.1396 0.0000 0.0000
0.0000 4.4300 0.0000
0.0000 0.0000 8.7343
Al Mo Ru
2 4 2
direct
0.0000 0.0000 0.0000
0.5000 0.5000 0.0000
0.0000 0.5000 0.2510
0.0000 0.5000 0.7490
0.5000 0.0000 0.2510
0.5000 0.0000 0.7490
0.0000 0.0000 0.5000
0.5000 0.5000 0.5000
```

Summary:
* energy relative to the elements: 0.07 eV per atom
* DOS at the Fermi energy: 9.72 states/eV per cell
* space group: Cmmm (65)